[1]
Density functional theory data (PBE-GGA) for crystalline P2AuSCl at its relaxed geometry.

E above lowest polymorph, eV/atom: 0.122
Crystal system: tetragonal

a b c (Å): 4.9264 4.9264 4.8502
angles (deg): 90.00 90.00 90.00
With the nearest neighbours (Å) after each atom.
Sites, in units of the cell vectors:
P: 0.0000 0.5000 0.0000  2 Au 2.46
P: 0.5000 0.0000 0.0000  2 Au 2.46
Au: 0.0000 0.0000 0.0000  2 S 2.43, 4 P 2.46
S: 0.0000 0.0000 0.5000  2 Au 2.43
Cl: 0.5000 0.5000 0.5000  8 P 3.46, 4 S 3.48


[2]
Density functional theory data (PBE-GGA) for crystalline PAuS2Cl at its relaxed geometry.

E above lowest polymorph, eV/atom: 0.473
Crystal system: tetragonal

a b c (Å): 4.9095 4.9095 4.9266
angles (deg): 90.00 90.00 90.00
With the nearest neighbours (Å) after each atom.
Sites, in units of the cell vectors:
P: 0.0000 0.0000 0.0000  2 Au 2.46
Au: 0.0000 0.0000 0.5000  4 S 2.45, 2 P 2.46
S: 0.0000 0.5000 0.5000  2 Au 2.45
S: 0.5000 0.0000 0.5000  2 Au 2.45
Cl: 0.5000 0.5000 0.0000  4 P 3.47, 8 S 3.48


[3]
Density functional theory data (PBE-GGA) for crystalline P2AuSCl at its relaxed geometry.

E above lowest polymorph, eV/atom: 0.097
Crystal system: tetragonal

a b c (Å): 4.8735 4.8735 4.8171
angles (deg): 90.00 90.00 90.00
With the nearest neighbours (Å) after each atom.
Sites, in units of the cell vectors:
P: 0.0000 0.5000 0.0000  2 Au 2.44
P: 0.5000 0.0000 0.0000  2 Au 2.44
Au: 0.0000 0.0000 0.0000  2 Cl 2.41, 4 P 2.44
S: 0.5000 0.5000 0.5000  8 P 3.43, 4 Cl 3.45
Cl: 0.0000 0.0000 0.5000  2 Au 2.41


[4]
Density functional theory data (PBE-GGA) for crystalline PAuSCl2 at its relaxed geometry.

E above lowest polymorph, eV/atom: 0.000
Crystal system: tetragonal

a b c (Å): 4.8286 4.8286 4.5284
angles (deg): 90.00 90.00 90.00
With the nearest neighbours (Å) after each atom.
Sites, in units of the cell vectors:
P: 0.0000 0.0000 0.0000  2 S 2.26, 4 Cl 2.41
Au: 0.5000 0.5000 0.5000  8 Cl 3.31, 4 S 3.41
S: 0.0000 0.0000 0.5000  2 P 2.26
Cl: 0.0000 0.5000 0.0000  2 P 2.41
Cl: 0.5000 0.0000 0.0000  2 P 2.41


[5]
Density functional theory data (PBE-GGA) for crystalline PAuS2Cl at its relaxed geometry.

E above lowest polymorph, eV/atom: 0.000
Crystal system: tetragonal

a b c (Å): 4.5450 4.5450 4.7446
angles (deg): 90.00 90.00 90.00
With the nearest neighbours (Å) after each atom.
Sites, in units of the cell vectors:
P: 0.0000 0.0000 0.0000  4 S 2.27, 2 Cl 2.37
Au: 0.5000 0.5000 0.5000  4 Cl 3.21, 8 S 3.29
S: 0.0000 0.5000 0.0000  2 P 2.27
S: 0.5000 0.0000 0.0000  2 P 2.27
Cl: 0.0000 0.0000 0.5000  2 P 2.37


[6]
Density functional theory data (PBE-GGA) for crystalline PAuSCl2 at its relaxed geometry.

E above lowest polymorph, eV/atom: 0.354
Crystal system: tetragonal

a b c (Å): 4.4929 4.4929 5.2607
angles (deg): 90.00 90.00 90.00
With the nearest neighbours (Å) after each atom.
Sites, in units of the cell vectors:
P: 0.0000 0.0000 0.0000  2 S 2.63
Au: 0.5000 0.5000 0.0000  4 P 3.18, 8 Cl 3.46
S: 0.0000 0.0000 0.5000  4 Cl 2.25
Cl: 0.0000 0.5000 0.5000  2 S 2.25
Cl: 0.5000 0.0000 0.5000  2 S 2.25


[7]
Density functional theory data (PBE-GGA) for crystalline PAuS2Cl at its relaxed geometry.

E above lowest polymorph, eV/atom: 0.409
Crystal system: tetragonal

a b c (Å): 4.8869 4.8869 4.8041
angles (deg): 90.00 90.00 90.00
With the nearest neighbours (Å) after each atom.
Sites, in units of the cell vectors:
P: 0.0000 0.0000 0.0000  8 S 3.43, 4 Cl 3.46
Au: 0.5000 0.5000 0.5000  2 Cl 2.40, 4 S 2.44
S: 0.0000 0.5000 0.5000  2 Au 2.44
S: 0.5000 0.0000 0.5000  2 Au 2.44
Cl: 0.5000 0.5000 0.0000  2 Au 2.40


[8]
Density functional theory data (PBE-GGA) for crystalline P2AuSCl at its relaxed geometry.

E above lowest polymorph, eV/atom: 0.000
Crystal system: tetragonal

a b c (Å): 4.6879 4.6879 4.5192
angles (deg): 90.00 90.00 90.00
With the nearest neighbours (Å) after each atom.
Sites, in units of the cell vectors:
P: 0.0000 0.5000 0.0000  2 S 2.34
P: 0.5000 0.0000 0.0000  2 S 2.34
Au: 0.0000 0.0000 0.5000  8 P 3.26, 4 Cl 3.31
S: 0.5000 0.5000 0.0000  2 Cl 2.26, 4 P 2.34
Cl: 0.5000 0.5000 0.5000  2 S 2.26


[9]
Density functional theory data (PBE-GGA) for crystalline PAuSCl2 at its relaxed geometry.

E above lowest polymorph, eV/atom: 0.439
Crystal system: tetragonal

a b c (Å): 4.8293 4.8293 5.1045
angles (deg): 90.00 90.00 90.00
With the nearest neighbours (Å) after each atom.
Sites, in units of the cell vectors:
P: 0.0000 0.0000 0.0000  2 Au 2.55
Au: 0.0000 0.0000 0.5000  4 Cl 2.41, 2 P 2.55
S: 0.5000 0.5000 0.0000  4 P 3.41, 8 Cl 3.51
Cl: 0.0000 0.5000 0.5000  2 Au 2.41
Cl: 0.5000 0.0000 0.5000  2 Au 2.41


[10]
Density functional theory data (PBE-GGA) for crystalline P2AuSCl at its relaxed geometry.

E above lowest polymorph, eV/atom: 0.464
Crystal system: tetragonal

a b c (Å): 4.5845 4.5845 4.7975
angles (deg): 90.00 90.00 90.00
With the nearest neighbours (Å) after each atom.
Sites, in units of the cell vectors:
P: 0.0000 0.5000 0.0000  2 Cl 2.29
P: 0.5000 0.0000 0.0000  2 Cl 2.29
Au: 0.0000 0.0000 0.5000  4 S 3.24, 8 P 3.32
S: 0.5000 0.5000 0.5000  2 Cl 2.40
Cl: 0.5000 0.5000 0.0000  4 P 2.29, 2 S 2.40


[11]
Density functional theory data (PBE-GGA) for crystalline Sb2PAuCl at its relaxed geometry.

E, eV per atom: -3.34
Crystal system: tetragonal

a b c (Å): 5.3758 5.3758 4.6610
angles (deg): 90.00 90.00 90.00
With the nearest neighbours (Å) after each atom.
Sites, in units of the cell vectors:
Sb: 0.0000 0.5000 0.0000  2 P 2.69
Sb: 0.5000 0.0000 0.0000  2 P 2.69
P: 0.0000 0.0000 0.0000  2 Au 2.33
Au: 0.0000 0.0000 0.5000  2 P 2.33
Cl: 0.5000 0.5000 0.5000  8 Sb 3.56, 4 Au 3.80


[12]
Density functional theory data (PBE-GGA) for crystalline SbPAuCl2 at its relaxed geometry.

E above lowest polymorph, eV/atom: 0.000
Crystal system: tetragonal

a b c (Å): 5.0999 5.0999 5.4836
angles (deg): 90.00 90.00 90.00
With the nearest neighbours (Å) after each atom.
Sites, in units of the cell vectors:
Sb: 0.0000 0.0000 0.0000  4 Cl 2.55, 2 P 2.74
P: 0.0000 0.0000 0.5000  2 Sb 2.74
Au: 0.5000 0.5000 0.5000  4 P 3.61, 8 Cl 3.74
Cl: 0.0000 0.5000 0.0000  2 Sb 2.55
Cl: 0.5000 0.0000 0.0000  2 Sb 2.55


[13]
Density functional theory data (PBE-GGA) for crystalline PAuSeCl2 at its relaxed geometry.

E above lowest polymorph, eV/atom: 0.000
Crystal system: tetragonal

a b c (Å): 4.8591 4.8591 5.1598
angles (deg): 90.00 90.00 90.00
With the nearest neighbours (Å) after each atom.
Sites, in units of the cell vectors:
P: 0.0000 0.0000 0.0000  2 Au 2.58
Au: 0.0000 0.0000 0.5000  4 Cl 2.43, 2 P 2.58
Se: 0.5000 0.5000 0.0000  4 P 3.44, 8 Cl 3.54
Cl: 0.0000 0.5000 0.5000  2 Au 2.43
Cl: 0.5000 0.0000 0.5000  2 Au 2.43


[14]
Density functional theory data (PBE-GGA) for crystalline PAuSeCl2 at its relaxed geometry.

E above lowest polymorph, eV/atom: 0.063
Crystal system: tetragonal

a b c (Å): 4.7577 4.7577 5.2894
angles (deg): 90.00 90.00 90.00
With the nearest neighbours (Å) after each atom.
Sites, in units of the cell vectors:
P: 0.0000 0.0000 0.0000  2 Se 2.64
Au: 0.5000 0.5000 0.0000  4 P 3.36, 8 Cl 3.56
Se: 0.0000 0.0000 0.5000  4 Cl 2.38, 2 P 2.64
Cl: 0.0000 0.5000 0.5000  2 Se 2.38
Cl: 0.5000 0.0000 0.5000  2 Se 2.38


[15]
Density functional theory data (PBE-GGA) for crystalline SnPAuCl2 at its relaxed geometry.

E above lowest polymorph, eV/atom: 0.000
Crystal system: tetragonal

a b c (Å): 4.9862 4.9862 4.9925
angles (deg): 90.00 90.00 90.00
With the nearest neighbours (Å) after each atom.
Sites, in units of the cell vectors:
Sn: 0.0000 0.0000 0.0000  4 P 3.53, 8 Cl 3.53
P: 0.5000 0.5000 0.0000  2 Au 2.50
Au: 0.5000 0.5000 0.5000  4 Cl 2.49, 2 P 2.50
Cl: 0.0000 0.5000 0.5000  2 Au 2.49
Cl: 0.5000 0.0000 0.5000  2 Au 2.49


[16]
Density functional theory data (PBE-GGA) for crystalline SrP2AuCl at its relaxed geometry.

E above lowest polymorph, eV/atom: 0.928
Crystal system: tetragonal

a b c (Å): 6.0651 6.0651 5.3916
angles (deg): 90.00 90.00 90.00
With the nearest neighbours (Å) after each atom.
Sites, in units of the cell vectors:
Sr: 0.0000 0.0000 0.0000  2 Cl 2.70
P: 0.0000 0.5000 0.0000  2 Sr 3.03
P: 0.5000 0.0000 0.0000  2 Sr 3.03
Au: 0.5000 0.5000 0.5000  8 P 4.06, 4 Cl 4.29
Cl: 0.0000 0.0000 0.5000  2 Sr 2.70


[17]
Density functional theory data (PBE-GGA) for crystalline SrP2AuCl at its relaxed geometry.

E above lowest polymorph, eV/atom: 0.000
Crystal system: tetragonal

a b c (Å): 4.7011 4.7011 6.1908
angles (deg): 90.00 90.00 90.00
With the nearest neighbours (Å) after each atom.
Sites, in units of the cell vectors:
Sr: 0.0000 0.0000 0.0000  4 Cl 3.32
P: 0.0000 0.5000 0.5000  2 Au 2.35
P: 0.5000 0.0000 0.5000  2 Au 2.35
Au: 0.5000 0.5000 0.5000  4 P 2.35
Cl: 0.5000 0.5000 0.0000  2 Au 3.10, 4 Sr 3.32


[18]
Density functional theory data (PBE-GGA) for crystalline TaPAuCl2 at its relaxed geometry.

E above lowest polymorph, eV/atom: 0.000
Crystal system: tetragonal

a b c (Å): 4.7123 4.7123 5.0722
angles (deg): 90.00 90.00 90.00
With the nearest neighbours (Å) after each atom.
Sites, in units of the cell vectors:
Ta: 0.0000 0.0000 0.0000  4 Cl 2.36, 2 P 2.54
P: 0.0000 0.0000 0.5000  2 Ta 2.54
Au: 0.5000 0.5000 0.5000  4 P 3.33, 8 Cl 3.46
Cl: 0.0000 0.5000 0.0000  2 Ta 2.36
Cl: 0.5000 0.0000 0.0000  2 Ta 2.36


[19]
Density functional theory data (PBE-GGA) for crystalline TaPAuCl2 at its relaxed geometry.

E above lowest polymorph, eV/atom: 1.117
Crystal system: tetragonal

a b c (Å): 4.7515 4.7515 5.1605
angles (deg): 90.00 90.00 90.00
With the nearest neighbours (Å) after each atom.
Sites, in units of the cell vectors:
Ta: 0.0000 0.0000 0.0000  4 P 3.36, 8 Cl 3.51
P: 0.5000 0.5000 0.0000  2 Au 2.58
Au: 0.5000 0.5000 0.5000  4 Cl 2.38, 2 P 2.58
Cl: 0.0000 0.5000 0.5000  2 Au 2.38
Cl: 0.5000 0.0000 0.5000  2 Au 2.38


[20]
Density functional theory data (PBE-GGA) for crystalline TcPAu2Cl at its relaxed geometry.

E, eV per atom: -4.04
Crystal system: tetragonal

a b c (Å): 5.1683 5.1683 4.4318
angles (deg): 90.00 90.00 90.00
With the nearest neighbours (Å) after each atom.
Sites, in units of the cell vectors:
Tc: 0.0000 0.0000 0.0000  2 P 2.22
P: 0.0000 0.0000 0.5000  2 Tc 2.22
Au: 0.0000 0.5000 0.0000  2 Tc 2.58
Au: 0.5000 0.0000 0.0000  2 Tc 2.58
Cl: 0.5000 0.5000 0.5000  8 Au 3.40, 4 P 3.65